A geometry-optimized NaLa2PmTe4 structure, computed with PBE.

The value obtained for the uncorrected formation energy is -1.459 eV/atom. As for the calculated density: 5.969 Mg/m³.

The space group is P2/m (No. 10) and the conventional cell measures 7.816, 4.541 and 7.946 Å, with angles of 90.00, 109.40 and 90.00 degrees. The inequivalent atoms are Na at (0.000, 0.000, 0.000), La at (0.500, 0.000, 0.500), La at (0.500, 0.500, 0.000), Pm at (0.000, 0.500, 0.500), Te at (0.242, 0.000, 0.748) and Te at (0.244, 0.500, 0.249).


A geometry-optimized RbMoAu2 structure, computed with PBE.

The calculation puts the formation energy from the elements at 0.757 eV/atom. As for the calculated density: 6.708 Mg/m³. Its offset from the most stable computed form is 0.000 eV/atom.

The space group is I4_1/amd (No. 141, origin choice 2) and the conventional cell measures 5.480, 5.480 and 18.973 Å, with angles of 90.00, 90.00 and 90.00 degrees. The inequivalent atoms are Rb at (0.000, 0.250, 0.375), Mo at (0.000, 0.250, 0.875) and Au at (0.000, 0.000, 0.000).


A geometry-optimized BaSnTe2 structure, computed with PBE.

The value obtained for the uncorrected formation energy is -0.783 eV/atom. As for the calculated density: 4.041 Mg/m³.

The space group is I-42d (No. 122) and the conventional cell measures 7.323, 7.323 and 15.668 Å, with angles of 90.00, 90.00 and 90.00 degrees. The inequivalent atoms are Ba at (0.000, 0.000, 0.000), Sn at (0.000, 0.000, 0.500) and Te at (0.212, 0.250, 0.625).


A geometry-optimized KZrAl2 structure, computed with PBE.

The calculation puts the formation energy from the elements at 0.249 eV/atom. As for the calculated density: 3.246 Mg/m³. Its offset from the most stable computed form is 0.253 eV/atom.

The space group is Cm (No. 8) and the conventional cell measures 11.594, 2.886 and 5.850 Å, with angles of 90.00, 105.58 and 90.00 degrees. The inequivalent atoms are K at (0.000, 0.000, 0.000), Zr at (0.303, 0.500, 0.388), Al at (0.046, 0.500, 0.516) and Al at (0.237, 0.000, 0.809).


A geometry-optimized HoPaTeAs structure, computed with PBE.

The value obtained for the uncorrected formation energy is -1.104 eV/atom. As for the calculated density: 9.276 Mg/m³.

The space group is R3m (No. 160, hexagonal axes) and the conventional cell measures 4.0615, 4.0615 and 22.5009 Å, with angles of 90.00, 90.00 and 120.00 degrees. The inequivalent atoms are Ho at (0.0000, 0.0000, 0.0000), Pa at (0.0000, 0.0000, 0.8114), Te at (0.0000, 0.0000, 0.2390) and As at (0.0000, 0.0000, 0.4046).


A geometry-optimized LiHf2TiTl structure, computed with PBE.

The calculation puts the formation energy from the elements at 0.762 eV/atom. As for the calculated density: 9.896 Mg/m³.

The space group is P4/mmm (No. 123) and the conventional cell measures 4.743, 4.743 and 4.595 Å, with angles of 90.00, 90.00 and 90.00 degrees. The inequivalent atoms are Li at (0.000, 0.000, 0.000), Hf at (0.000, 0.500, 0.000), Ti at (0.500, 0.500, 0.500) and Tl at (0.000, 0.000, 0.500).


A geometry-optimized NaPmAl2 structure, computed with PBE.

The calculation puts the formation energy from the elements at -0.069 eV/atom. As for the calculated density: 3.789 Mg/m³.

The space group is P4/mmm (No. 123) and the conventional cell measures 5.003, 5.003 and 3.886 Å, with angles of 90.00, 90.00 and 90.00 degrees. The inequivalent atoms are Na at (0.000, 0.000, 0.000), Pm at (0.500, 0.500, 0.000) and Al at (0.000, 0.500, 0.500).


A geometry-optimized As4I5Br2 structure, computed with PBE.

The value obtained for the uncorrected formation energy is -0.007 eV/atom. As for the calculated density: 3.146 Mg/m³. Its offset from the most stable computed form is 0.157 eV/atom.

The space group is C2/m (No. 12) and the conventional cell measures 14.622, 8.492 and 11.145 Å, with angles of 90.00, 123.45 and 90.00 degrees. The inequivalent atoms are As at (0.180, 0.000, 0.099), As at (0.239, 0.500, 0.637), I at (0.000, 0.500, 0.500), I at (0.120, 0.246, 0.262) and Br at (0.176, 0.500, 0.938).


A geometry-optimized Mn5P structure, computed with PBE.

The calculation puts the formation energy from the elements at 0.299 eV/atom. As for the calculated density: 7.145 Mg/m³. Its offset from the most stable computed form is 0.461 eV/atom.

The space group is F-43m (No. 216) and the conventional cell measures 6.574, 6.574 and 6.574 Å, with angles of 90.00, 90.00 and 90.00 degrees. The inequivalent atoms are Mn at (0.000, 0.000, 0.000), Mn at (0.124, 0.124, 0.624) and P at (0.250, 0.250, 0.250).


A geometry-optimized MgNb2Cr2 structure, computed with PBE.

The calculation puts the formation energy from the elements at 0.283 eV/atom. As for the calculated density: 6.367 Mg/m³. Its offset from the most stable computed form is 0.000 eV/atom.

The space group is P4/mbm (No. 127) and the conventional cell measures 7.308, 7.308 and 3.067 Å, with angles of 90.00, 90.00 and 90.00 degrees. The inequivalent atoms are Mg at (0.000, 0.000, 0.000), Nb at (0.199, 0.301, 0.500) and Cr at (0.098, 0.598, 0.000).


A geometry-optimized BaNa2Sn4 structure, computed with PBE.

The calculation puts the formation energy from the elements at -0.334 eV/atom. As for the calculated density: 5.115 Mg/m³. Its offset from the most stable computed form is 0.053 eV/atom.

The space group is I4/mmm (No. 139) and the conventional cell measures 8.056, 8.056 and 6.585 Å, with angles of 90.00, 90.00 and 90.00 degrees. The inequivalent atoms are Ba at (0.000, 0.000, 0.000), Na at (0.000, 0.500, 0.250) and Sn at (0.191, 0.191, 0.500).


A geometry-optimized TaMnCo structure, computed with PBE.

The calculation puts the formation energy from the elements at -0.014 eV/atom. As for the calculated density: 12.197 Mg/m³. Its offset from the most stable computed form is 0.202 eV/atom.

The space group is C2/m (No. 12) and the conventional cell measures 8.992, 3.780 and 6.269 Å, with angles of 90.00, 131.10 and 90.00 degrees. The inequivalent atoms are Ta at (0.060, 0.000, 0.314), Mn at (0.154, 0.500, 0.082) and Co at (0.164, 0.500, 0.703).


A geometry-optimized Ca4GaN2 structure, computed with PBE.

The value obtained for the uncorrected formation energy is -0.545 eV/atom. As for the calculated density: 2.901 Mg/m³.

The space group is Cmcm (No. 63) and the conventional cell measures 3.683, 12.274 and 13.070 Å, with angles of 90.00, 90.00 and 90.00 degrees. The inequivalent atoms are Ca at (0.000, 0.000, 0.000), Ca at (0.000, 0.257, 0.094), Ca at (0.000, 0.420, 0.750), Ga at (0.000, 0.120, 0.750) and N at (0.000, 0.363, 0.568).


A geometry-optimized Sm2Ho2Tm2Th structure, computed with PBE.

The calculation puts the formation energy from the elements at 0.166 eV/atom. As for the calculated density: 8.721 Mg/m³.

The space group is C2/m (No. 12) and the conventional cell measures 11.481, 3.442 and 11.769 Å, with angles of 90.00, 100.57 and 90.00 degrees. The inequivalent atoms are Sm at (0.199, 0.000, 0.359), Ho at (0.142, 0.000, 0.056), Tm at (0.054, 0.500, 0.799) and Th at (0.000, 0.500, 0.500).


A geometry-optimized NdAgI4 structure, computed with PBE.

The value obtained for the uncorrected formation energy is -0.990 eV/atom. As for the calculated density: 4.768 Mg/m³.

The space group is P2/m (No. 10) and the conventional cell measures 7.640, 4.458 and 7.786 Å, with angles of 90.00, 93.79 and 90.00 degrees. The inequivalent atoms are Nd at (0.000, 0.000, 0.000), Ag at (0.000, 0.500, 0.500), I at (0.214, 0.000, 0.672) and I at (0.253, 0.500, 0.160).


A geometry-optimized Dy12AgPd6 structure, computed with PBE.

The calculation puts the formation energy from the elements at -0.434 eV/atom. As for the calculated density: 8.253 Mg/m³.

The space group is R-3 (No. 148, hexagonal axes) and the conventional cell measures 13.0591, 13.0591 and 11.0199 Å, with angles of 90.00, 90.00 and 120.00 degrees. The inequivalent atoms are Dy at (0.0307, 0.2115, 0.3829), Dy at (0.0397, 0.2153, 0.8864), Ag at (0.0000, 0.0000, 0.0000) and Pd at (0.0441, 0.2615, 0.6415).


A geometry-optimized Tb8YTm3 structure, computed with PBE.

The calculation puts the formation energy from the elements at 0.725 eV/atom. As for the calculated density: 6.883 Mg/m³.

The space group is I4/mmm (No. 139) and the conventional cell measures 7.664, 7.664 and 15.336 Å, with angles of 90.00, 90.00 and 90.00 degrees. The inequivalent atoms are Tb at (0.248, 0.248, 0.126), Y at (0.000, 0.000, 0.500), Tm at (0.000, 0.000, 0.000) and Tm at (0.000, 0.500, 0.250).


A geometry-optimized BeB2SbC structure, computed with PBE.

The value obtained for the uncorrected formation energy is 1.496 eV/atom. As for the calculated density: 3.310 Mg/m³.

The space group is P4/mmm (No. 123) and the conventional cell measures 3.205, 3.205 and 8.032 Å, with angles of 90.00, 90.00 and 90.00 degrees. The inequivalent atoms are Be at (0.000, 0.000, 0.000), B at (0.000, 0.500, 0.500), Sb at (0.500, 0.500, 0.000) and C at (0.500, 0.500, 0.500).


A geometry-optimized MgCr2Ni2 structure, computed with PBE.

The calculation puts the formation energy from the elements at 0.272 eV/atom. As for the calculated density: 6.110 Mg/m³. Its offset from the most stable computed form is 0.084 eV/atom.

The space group is I4/mmm (No. 139) and the conventional cell measures 3.389, 3.389 and 11.626 Å, with angles of 90.00, 90.00 and 90.00 degrees. The inequivalent atoms are Mg at (0.000, 0.000, 0.000), Cr at (0.000, 0.500, 0.250) and Ni at (0.000, 0.000, 0.400).


A geometry-optimized Be2CrPt structure, computed with PBE.

The calculation puts the formation energy from the elements at 0.005 eV/atom. As for the calculated density: 9.504 Mg/m³.

The space group is R-3m (No. 166, hexagonal axes) and the conventional cell measures 2.6649, 2.6649 and 22.5945 Å, with angles of 90.00, 90.00 and 120.00 degrees. The inequivalent atoms are Be at (0.0000, 0.0000, 0.2486), Cr at (0.0000, 0.0000, 0.5000) and Pt at (0.0000, 0.0000, 0.0000).


A geometry-optimized AcU3Pt4S12 structure, computed with PBE.

The value obtained for the uncorrected formation energy is -0.761 eV/atom. As for the calculated density: 6.802 Mg/m³.

The space group is R32 (No. 155, hexagonal axes) and the conventional cell measures 13.3000, 13.3000 and 10.0690 Å, with angles of 90.00, 90.00 and 120.00 degrees. The inequivalent atoms are Ac at (0.0000, 0.0000, 0.0000), U at (0.0000, 0.5671, 0.0000), Pt at (0.0000, 0.0000, 0.5000), Pt at (0.0000, 0.4156, 0.5000), S at (0.0000, 0.5885, 0.5000), S at (0.0000, 0.8325, 0.5000) and S at (0.0564, 0.1994, 0.1887).


A geometry-optimized AcTbPrLu structure, computed with PBE.

The calculation puts the formation energy from the elements at 0.177 eV/atom. As for the calculated density: 8.163 Mg/m³.

The space group is F-43m (No. 216) and the conventional cell measures 8.297, 8.297 and 8.297 Å, with angles of 90.00, 90.00 and 90.00 degrees. The inequivalent atoms are Ac at (0.000, 0.000, 0.000), Tb at (0.250, 0.250, 0.250), Pr at (0.250, 0.250, 0.750) and Lu at (0.000, 0.000, 0.500).


A geometry-optimized TbHo7Er12 structure, computed with PBE.

The calculation puts the formation energy from the elements at 0.309 eV/atom. As for the calculated density: 8.843 Mg/m³. Its offset from the most stable computed form is 0.000 eV/atom.

The space group is R-3 (No. 148, hexagonal axes) and the conventional cell measures 12.6639, 12.6639 and 13.4679 Å, with angles of 90.00, 90.00 and 120.00 degrees. The inequivalent atoms are Tb at (0.0000, 0.0000, 0.0000), Ho at (0.0000, 0.0000, 0.5000), Ho at (0.0687, 0.2006, 0.8481), Er at (0.0012, 0.5643, 0.2493) and Er at (0.0687, 0.8687, 0.3474).


A geometry-optimized Y2Sn2Br structure, computed with PBE.

The value obtained for the uncorrected formation energy is -0.854 eV/atom. As for the calculated density: 5.819 Mg/m³.

The space group is P4/mbm (No. 127) and the conventional cell measures 8.063, 8.063 and 4.347 Å, with angles of 90.00, 90.00 and 90.00 degrees. The inequivalent atoms are Y at (0.176, 0.324, 0.000), Sn at (0.124, 0.624, 0.500) and Br at (0.000, 0.000, 0.000).


no.,energy (eV per atom)
1,-5.02
2,-3.83
3,-3.84
4,-4.03
5,-6.57
6,-5.65
7,-3.46
8,-2.71
9,-8.24
10,-7.91
11,-3.27
12,-9.39
13,-4.50
14,-4.83
15,-3.29
16,-5.13
17,-4.02
18,-4.59
19,-6.21
20,-5.77
21,-6.34
22,-4.33
23,-4.26
24,-5.37